Below is an optimized crystal structure of AlCo2BiBr, with properties calculated at the GGA-PBE level.

The crystal system is tetragonal. Its density is 4.91 g cm⁻³. Its uncorrected formation energy is 1.14 eV per atom.

The structure belongs to space group P4/mmm (No. 123); the cell edges are 4.9272, 4.9272 and 6.0370 Å and the angles 90.00°, 90.00° and 90.00°. The distinct sites, in fractional coordinates, are Al at (0.0000, 0.0000, 0.0000), Co at (0.0000, 0.5000, 0.5000), Bi at (0.5000, 0.5000, 0.5000) and Br at (0.5000, 0.5000, 0.0000).